# LiCu2Te

LiCu2Te after structural relaxation (PBE-GGA, the Alexandria database).

Raw total energy in eV per atom: -3.46
Crystal system: tetragonal
Uncorrected formation energy in eV per atom: -0.149

Structure (CIF):
```
data_LiCu2Te
_chemical_formula_sum 'Li1 Cu2 Te1'
_cell_length_a 3.922
_cell_length_b 3.922
_cell_length_c 4.107
_cell_angle_alpha 90.00
_cell_angle_beta 90.00
_cell_angle_gamma 90.00
_symmetry_space_group_name_H-M 'P 4/m m m'
_symmetry_Int_Tables_number 123
_symmetry_space_group_name_Hall '-P 4 2'
loop_
_atom_site_label
_atom_site_fract_x
_atom_site_fract_y
_atom_site_fract_z
_atom_site_occupancy
Li1 0.000 0.000 0.000 1
Cu1 0.000 0.500 0.500 1
Te1 0.500 0.500 0.000 1
```

=====

# LiCu2Te

LiCu2Te after structural relaxation (PBE-GGA, the Alexandria database).

Raw total energy in eV per atom: -3.39
Crystal system: orthorhombic
Uncorrected formation energy in eV per atom: -0.073

Structure (CIF):
```
data_LiCu2Te
_chemical_formula_sum 'Li4 Cu8 Te4'
_cell_length_a 5.604
_cell_length_b 5.647
_cell_length_c 8.010
_cell_angle_alpha 90.00
_cell_angle_beta 90.00
_cell_angle_gamma 90.00
_symmetry_space_group_name_H-M 'F 2 2 2'
_symmetry_Int_Tables_number 22
_symmetry_space_group_name_Hall 'F 2 2'
loop_
_atom_site_label
_atom_site_fract_x
_atom_site_fract_y
_atom_site_fract_z
_atom_site_occupancy
Li1 0.000 0.000 0.000 1
Cu1 0.000 0.000 0.500 1
Cu2 0.250 0.250 0.750 1
Te1 0.250 0.250 0.250 1
```

=====

# LiCu2Te

LiCu2Te after structural relaxation (PBE-GGA, the Alexandria database).

Raw total energy in eV per atom: -2.97
Crystal system: trigonal
Uncorrected formation energy in eV per atom: 0.339

Structure (CIF):
```
data_LiCu2Te
_chemical_formula_sum 'Li3 Cu6 Te3'
_cell_length_a 3.0531
_cell_length_b 3.0531
_cell_length_c 26.1388
_cell_angle_alpha 90.00
_cell_angle_beta 90.00
_cell_angle_gamma 120.00
_symmetry_space_group_name_H-M 'R -3 m'
_symmetry_Int_Tables_number 166
_symmetry_space_group_name_Hall '-R 3 2"'
loop_
_atom_site_label
_atom_site_fract_x
_atom_site_fract_y
_atom_site_fract_z
_atom_site_occupancy
Li1 0.0000 0.0000 0.0000 1
Cu1 0.0000 0.0000 0.2556 1
Te1 0.0000 0.0000 0.5000 1
```

=====

# LiCuTe3

LiCuTe3 after structural relaxation (PBE-GGA, the Alexandria database).

Raw total energy in eV per atom: -3.28
Crystal system: monoclinic
Energy above the lowest structure with this stoichiometry in meV per atom: 0
Uncorrected formation energy in eV per atom: -0.195

Structure (CIF):
```
data_LiCuTe3
_chemical_formula_sum 'Li8 Cu8 Te24'
_cell_length_a 9.105
_cell_length_b 14.854
_cell_length_c 9.089
_cell_angle_alpha 90.00
_cell_angle_beta 117.27
_cell_angle_gamma 90.00
_symmetry_space_group_name_H-M 'C 1 2/c 1'
_symmetry_Int_Tables_number 15
_symmetry_space_group_name_Hall '-C 2yc'
loop_
_atom_site_label
_atom_site_fract_x
_atom_site_fract_y
_atom_site_fract_z
_atom_site_occupancy
Li1 0.000 0.112 0.250 1
Li2 0.000 0.366 0.750 1
Cu1 0.161 0.342 0.304 1
Te1 0.067 0.264 0.498 1
Te2 0.204 0.134 0.894 1
Te3 0.233 0.009 0.166 1
```

=====

# LiCuTe3

LiCuTe3 after structural relaxation (PBE-GGA, the Alexandria database).

Raw total energy in eV per atom: -2.98
Crystal system: cubic
Energy above the lowest structure with this stoichiometry in meV per atom: 306
Uncorrected formation energy in eV per atom: 0.111

Structure (CIF):
```
data_LiCuTe3
_chemical_formula_sum 'Li1 Cu1 Te3'
_cell_length_a 5.216
_cell_length_b 5.216
_cell_length_c 5.216
_cell_angle_alpha 90.00
_cell_angle_beta 90.00
_cell_angle_gamma 90.00
_symmetry_space_group_name_H-M 'P m -3 m'
_symmetry_Int_Tables_number 221
_symmetry_space_group_name_Hall '-P 4 2 3'
loop_
_atom_site_label
_atom_site_fract_x
_atom_site_fract_y
_atom_site_fract_z
_atom_site_occupancy
Li1 0.000 0.000 0.000 1
Cu1 0.500 0.500 0.500 1
Te1 0.000 0.500 0.500 1
```

=====

# LiCu2Te

LiCu2Te after structural relaxation (PBE-GGA, the Alexandria database).

Raw total energy in eV per atom: -3.43
Crystal system: trigonal
Uncorrected formation energy in eV per atom: -0.122

Structure (CIF):
```
data_LiCu2Te
_chemical_formula_sum 'Li3 Cu6 Te3'
_cell_length_a 4.2148
_cell_length_b 4.2148
_cell_length_c 13.5761
_cell_angle_alpha 90.00
_cell_angle_beta 90.00
_cell_angle_gamma 120.00
_symmetry_space_group_name_H-M 'R 3 m'
_symmetry_Int_Tables_number 160
_symmetry_space_group_name_Hall 'R 3 -2"'
loop_
_atom_site_label
_atom_site_fract_x
_atom_site_fract_y
_atom_site_fract_z
_atom_site_occupancy
Li1 0.0000 0.0000 0.0000 1
Cu1 0.0000 0.0000 0.2027 1
Cu2 0.0000 0.0000 0.5866 1
Te1 0.0000 0.0000 0.7848 1
```

=====

# LiCuTe2

LiCuTe2 after structural relaxation (PBE-GGA, the Alexandria database).

Raw total energy in eV per atom: -3.35
Crystal system: trigonal
Uncorrected formation energy in eV per atom: -0.275

Structure (CIF):
```
data_LiCuTe2
_chemical_formula_sum 'Li3 Cu3 Te6'
_cell_length_a 4.2207
_cell_length_b 4.2207
_cell_length_c 17.7985
_cell_angle_alpha 90.00
_cell_angle_beta 90.00
_cell_angle_gamma 120.00
_symmetry_space_group_name_H-M 'R 3 m'
_symmetry_Int_Tables_number 160
_symmetry_space_group_name_Hall 'R 3 -2"'
loop_
_atom_site_label
_atom_site_fract_x
_atom_site_fract_y
_atom_site_fract_z
_atom_site_occupancy
Li1 0.0000 0.0000 0.0000 1
Cu1 0.0000 0.0000 0.1629 1
Te1 0.0000 0.0000 0.5771 1
Te2 0.0000 0.0000 0.7550 1
```

=====

# LiCuTe2

LiCuTe2 after structural relaxation (PBE-GGA, the Alexandria database).

Raw total energy in eV per atom: -2.86
Crystal system: cubic
Uncorrected formation energy in eV per atom: 0.211

Structure (CIF):
```
data_LiCuTe2
_chemical_formula_sum 'Li4 Cu4 Te8'
_cell_length_a 7.153
_cell_length_b 7.153
_cell_length_c 7.153
_cell_angle_alpha 90.00
_cell_angle_beta 90.00
_cell_angle_gamma 90.00
_symmetry_space_group_name_H-M 'F -4 3 m'
_symmetry_Int_Tables_number 216
_symmetry_space_group_name_Hall 'F -4 2 3'
loop_
_atom_site_label
_atom_site_fract_x
_atom_site_fract_y
_atom_site_fract_z
_atom_site_occupancy
Li1 0.000 0.000 0.000 1
Cu1 0.250 0.250 0.250 1
Te1 0.000 0.000 0.500 1
Te2 0.250 0.250 0.750 1
```

=====

# LiCu2Te

LiCu2Te after structural relaxation (PBE-GGA, the Alexandria database).

Raw total energy in eV per atom: -3.30
Crystal system: orthorhombic
Uncorrected formation energy in eV per atom: 0.010

Structure (CIF):
```
data_LiCu2Te
_chemical_formula_sum 'Li1 Cu2 Te1'
_cell_length_a 3.445
_cell_length_b 3.611
_cell_length_c 5.322
_cell_angle_alpha 90.00
_cell_angle_beta 90.00
_cell_angle_gamma 90.00
_symmetry_space_group_name_H-M 'P m m m'
_symmetry_Int_Tables_number 47
_symmetry_space_group_name_Hall '-P 2 2'
loop_
_atom_site_label
_atom_site_fract_x
_atom_site_fract_y
_atom_site_fract_z
_atom_site_occupancy
Li1 0.000 0.000 0.000 1
Cu1 0.500 0.500 0.238 1
Te1 0.000 0.000 0.500 1
```

=====

# LiCuTe

LiCuTe after structural relaxation (PBE-GGA, the Alexandria database).

Raw total energy in eV per atom: -3.45
Crystal system: trigonal
Uncorrected formation energy in eV per atom: -0.399

Structure (CIF):
```
data_LiCuTe
_chemical_formula_sum 'Li1 Cu1 Te1'
_cell_length_a 4.3382
_cell_length_b 4.3382
_cell_length_c 4.1840
_cell_angle_alpha 90.00
_cell_angle_beta 90.00
_cell_angle_gamma 120.00
_symmetry_space_group_name_H-M 'P 3 m 1'
_symmetry_Int_Tables_number 156
_symmetry_space_group_name_Hall 'P 3 -2"'
loop_
_atom_site_label
_atom_site_fract_x
_atom_site_fract_y
_atom_site_fract_z
_atom_site_occupancy
Li1 0.0000 0.0000 0.0000 1
Cu1 0.3333 0.6667 0.5738 1
Te1 0.6667 0.3333 0.5427 1
```

=====

# Li3CuTe2

Li3CuTe2 after structural relaxation (PBE-GGA, the Alexandria database).

Raw total energy in eV per atom: -3.44
Crystal system: orthorhombic
Uncorrected formation energy in eV per atom: -0.750

Structure (CIF):
```
data_Li3CuTe2
_chemical_formula_sum 'Li12 Cu4 Te8'
_cell_length_a 6.312
_cell_length_b 13.526
_cell_length_c 5.757
_cell_angle_alpha 90.00
_cell_angle_beta 90.00
_cell_angle_gamma 90.00
_symmetry_space_group_name_H-M 'I b a m'
_symmetry_Int_Tables_number 72
_symmetry_space_group_name_Hall '-I 2 2c'
loop_
_atom_site_label
_atom_site_fract_x
_atom_site_fract_y
_atom_site_fract_z
_atom_site_occupancy
Li1 0.000 0.000 0.250 1
Li2 0.202 0.334 0.000 1
Cu1 0.000 0.500 0.250 1
Te1 0.249 0.375 0.500 1
```

=====

# LiCu4Te

LiCu4Te after structural relaxation (PBE-GGA, the Alexandria database).

Raw total energy in eV per atom: -3.62
Crystal system: cubic
Uncorrected formation energy in eV per atom: -0.050

Structure (CIF):
```
data_LiCu4Te
_chemical_formula_sum 'Li4 Cu16 Te4'
_cell_length_a 7.122
_cell_length_b 7.122
_cell_length_c 7.122
_cell_angle_alpha 90.00
_cell_angle_beta 90.00
_cell_angle_gamma 90.00
_symmetry_space_group_name_H-M 'F -4 3 m'
_symmetry_Int_Tables_number 216
_symmetry_space_group_name_Hall 'F -4 2 3'
loop_
_atom_site_label
_atom_site_fract_x
_atom_site_fract_y
_atom_site_fract_z
_atom_site_occupancy
Li1 0.000 0.000 0.000 1
Cu1 0.126 0.126 0.374 1
Te1 0.250 0.250 0.750 1
```

=====

# LiCu2Te

LiCu2Te after structural relaxation (PBE-GGA, the Alexandria database).

Raw total energy in eV per atom: -3.26
Crystal system: monoclinic
Uncorrected formation energy in eV per atom: 0.047

Structure (CIF):
```
data_LiCu2Te
_chemical_formula_sum 'Li2 Cu4 Te2'
_cell_length_a 5.362
_cell_length_b 9.963
_cell_length_c 3.013
_cell_angle_alpha 90.00
_cell_angle_beta 123.04
_cell_angle_gamma 90.00
_symmetry_space_group_name_H-M 'C 1 2/m 1'
_symmetry_Int_Tables_number 12
_symmetry_space_group_name_Hall '-C 2y'
loop_
_atom_site_label
_atom_site_fract_x
_atom_site_fract_y
_atom_site_fract_z
_atom_site_occupancy
Li1 0.000 0.000 0.000 1
Cu1 0.250 0.250 0.000 1
Te1 0.000 0.500 0.000 1
```

=====

# Li4CuTe

Li4CuTe after structural relaxation (PBE-GGA, the Alexandria database).

Raw total energy in eV per atom: -2.53
Crystal system: cubic
Uncorrected formation energy in eV per atom: -0.050

Structure (CIF):
```
data_Li4CuTe
_chemical_formula_sum 'Li16 Cu4 Te4'
_cell_length_a 7.465
_cell_length_b 7.465
_cell_length_c 7.465
_cell_angle_alpha 90.00
_cell_angle_beta 90.00
_cell_angle_gamma 90.00
_symmetry_space_group_name_H-M 'F -4 3 m'
_symmetry_Int_Tables_number 216
_symmetry_space_group_name_Hall 'F -4 2 3'
loop_
_atom_site_label
_atom_site_fract_x
_atom_site_fract_y
_atom_site_fract_z
_atom_site_occupancy
Li1 0.125 0.125 0.125 1
Cu1 0.000 0.000 0.500 1
Te1 0.250 0.250 0.750 1
```

=====

# LiCu2Te

LiCu2Te after structural relaxation (PBE-GGA, the Alexandria database).

Raw total energy in eV per atom: -3.43
Crystal system: tetragonal
Uncorrected formation energy in eV per atom: -0.119

Structure (CIF):
```
data_LiCu2Te
_chemical_formula_sum 'Li2 Cu4 Te2'
_cell_length_a 3.920
_cell_length_b 3.920
_cell_length_c 8.274
_cell_angle_alpha 90.00
_cell_angle_beta 90.00
_cell_angle_gamma 90.00
_symmetry_space_group_name_H-M 'I 4/m m m'
_symmetry_Int_Tables_number 139
_symmetry_space_group_name_Hall '-I 4 2'
loop_
_atom_site_label
_atom_site_fract_x
_atom_site_fract_y
_atom_site_fract_z
_atom_site_occupancy
Li1 0.000 0.000 0.000 1
Cu1 0.000 0.500 0.250 1
Te1 0.000 0.000 0.500 1
```

=====

# Li2CuTe2

Li2CuTe2 after structural relaxation (PBE-GGA, the Alexandria database).

Raw total energy in eV per atom: -3.28
Crystal system: tetragonal
Energy above the lowest structure with this stoichiometry in meV per atom: 0
Uncorrected formation energy in eV per atom: -0.442

Structure (CIF):
```
data_Li2CuTe2
_chemical_formula_sum 'Li4 Cu2 Te4'
_cell_length_a 7.313
_cell_length_b 7.313
_cell_length_c 4.225
_cell_angle_alpha 90.00
_cell_angle_beta 90.00
_cell_angle_gamma 90.00
_symmetry_space_group_name_H-M 'P 4/m b m'
_symmetry_Int_Tables_number 127
_symmetry_space_group_name_Hall '-P 4 2ab'
loop_
_atom_site_label
_atom_site_fract_x
_atom_site_fract_y
_atom_site_fract_z
_atom_site_occupancy
Li1 0.139 0.361 0.000 1
Cu1 0.000 0.000 0.500 1
Te1 0.175 0.675 0.500 1
```

=====

# LiCuTe2

LiCuTe2 after structural relaxation (PBE-GGA, the Alexandria database).

Raw total energy in eV per atom: -3.35
Crystal system: trigonal
Uncorrected formation energy in eV per atom: -0.275

Structure (CIF):
```
data_LiCuTe2
_chemical_formula_sum 'Li3 Cu3 Te6'
_cell_length_a 3.7537
_cell_length_b 3.7537
_cell_length_c 21.9797
_cell_angle_alpha 90.00
_cell_angle_beta 90.00
_cell_angle_gamma 120.00
_symmetry_space_group_name_H-M 'R -3 m'
_symmetry_Int_Tables_number 166
_symmetry_space_group_name_Hall '-R 3 2"'
loop_
_atom_site_label
_atom_site_fract_x
_atom_site_fract_y
_atom_site_fract_z
_atom_site_occupancy
Li1 0.0000 0.0000 0.0000 1
Cu1 0.0000 0.0000 0.5000 1
Te1 0.0000 0.0000 0.2409 1
```

=====

# LiCu2Te

LiCu2Te after structural relaxation (PBE-GGA, the Alexandria database).

Raw total energy in eV per atom: -3.34
Crystal system: cubic
Uncorrected formation energy in eV per atom: -0.026

Structure (CIF):
```
data_LiCu2Te
_chemical_formula_sum 'Li4 Cu8 Te4'
_cell_length_a 6.403
_cell_length_b 6.403
_cell_length_c 6.403
_cell_angle_alpha 90.00
_cell_angle_beta 90.00
_cell_angle_gamma 90.00
_symmetry_space_group_name_H-M 'F -4 3 m'
_symmetry_Int_Tables_number 216
_symmetry_space_group_name_Hall 'F -4 2 3'
loop_
_atom_site_label
_atom_site_fract_x
_atom_site_fract_y
_atom_site_fract_z
_atom_site_occupancy
Li1 0.000 0.000 0.000 1
Cu1 0.000 0.000 0.500 1
Cu2 0.250 0.250 0.750 1
Te1 0.250 0.250 0.250 1
```

=====

# LiCuTe2

LiCuTe2 after structural relaxation (PBE-GGA, the Alexandria database).

Raw total energy in eV per atom: -3.20
Crystal system: orthorhombic
Uncorrected formation energy in eV per atom: -0.126

Structure (CIF):
```
data_LiCuTe2
_chemical_formula_sum 'Li2 Cu2 Te4'
_cell_length_a 3.925
_cell_length_b 5.929
_cell_length_c 7.931
_cell_angle_alpha 90.00
_cell_angle_beta 90.00
_cell_angle_gamma 90.00
_symmetry_space_group_name_H-M 'C m m m'
_symmetry_Int_Tables_number 65
_symmetry_space_group_name_Hall '-C 2 2'
loop_
_atom_site_label
_atom_site_fract_x
_atom_site_fract_y
_atom_site_fract_z
_atom_site_occupancy
Li1 0.000 0.000 0.000 1
Cu1 0.000 0.000 0.500 1
Te1 0.000 0.500 0.268 1
```

=====

# LiCuTe2

LiCuTe2 after structural relaxation (PBE-GGA, the Alexandria database).

Raw total energy in eV per atom: -3.34
Crystal system: orthorhombic
Uncorrected formation energy in eV per atom: -0.262

Structure (CIF):
```
data_LiCuTe2
_chemical_formula_sum 'Li2 Cu2 Te4'
_cell_length_a 4.967
_cell_length_b 4.977
_cell_length_c 7.842
_cell_angle_alpha 90.00
_cell_angle_beta 90.00
_cell_angle_gamma 90.00
_symmetry_space_group_name_H-M 'C m m 2'
_symmetry_Int_Tables_number 35
_symmetry_space_group_name_Hall 'C 2 -2'
loop_
_atom_site_label
_atom_site_fract_x
_atom_site_fract_y
_atom_site_fract_z
_atom_site_occupancy
Li1 0.000 0.000 0.000 1
Cu1 0.000 0.500 0.179 1
Te1 0.000 0.000 0.341 1
Te2 0.000 0.500 0.837 1
```